1.
Sc4Ni3Mo2C3: optimized geometry, PBE.

Lattice parameters (Å, degrees): 5.606 5.606 12.828 102.77 102.77 60.48
Element x y z (fractional)
C (0.500, 0.000, 0.000)
C (0.818, 0.342, 0.001)
C (0.658, 0.182, 0.499)
C (0.000, 0.500, 0.500)
C (0.342, 0.818, 0.501)
C (0.182, 0.658, 0.999)
Mo (0.525, 0.348, 0.079)
Mo (0.652, 0.475, 0.421)
Mo (0.348, 0.525, 0.579)
Mo (0.475, 0.652, 0.921)
Ni (0.837, 0.416, 0.246)
Ni (0.336, 0.664, 0.250)
Ni (0.584, 0.163, 0.254)
Ni (0.416, 0.837, 0.746)
Ni (0.664, 0.336, 0.750)
Ni (0.163, 0.584, 0.754)
Sc (0.193, 0.046, 0.108)
Sc (0.881, 0.707, 0.108)
Sc (0.293, 0.119, 0.392)
Sc (0.954, 0.807, 0.392)
Sc (0.046, 0.193, 0.608)
Sc (0.707, 0.881, 0.608)
Sc (0.119, 0.293, 0.892)
Sc (0.807, 0.954, 0.892)

Values from the calculation:
Magnetic moment   0.024 μB/f.u.
VASP energy   -190.606 eV per cell

---

2.
ThHgB: optimized geometry, PBE.

Lattice parameters (Å, degrees): 4.505 4.505 4.505 60.00 60.00 60.00
Element x y z (fractional)
B (0.000, 0.000, 0.000)
Hg (0.250, 0.250, 0.250)
Th (0.750, 0.750, 0.750)

Values from the calculation:
Distance to the lowest polymorph of the same formula   0.000 eV per atom
Magnetic moment   0.003 μB/f.u.

---

3.
LiGdTeO: optimized geometry, PBE.

Lattice parameters (Å, degrees): 6.542 7.559 6.513 90.00 100.40 90.00
Element x y z (fractional)
Gd (0.578, 0.614, 0.229)
Gd (0.422, 0.114, 0.271)
Gd (0.578, 0.886, 0.729)
Gd (0.422, 0.386, 0.771)
Li (0.855, 0.273, 0.027)
Li (0.145, 0.773, 0.473)
Li (0.855, 0.227, 0.527)
Li (0.145, 0.727, 0.973)
O (0.580, 0.332, 0.096)
O (0.420, 0.832, 0.404)
O (0.580, 0.168, 0.596)
O (0.420, 0.668, 0.904)
Te (0.848, 0.945, 0.205)
Te (0.152, 0.445, 0.295)
Te (0.848, 0.555, 0.705)
Te (0.152, 0.055, 0.795)

Values from the calculation:
Distance to the lowest polymorph of the same formula   0.132 eV per atom
Magnetic moment   0.002 μB/f.u.

---

4.
Cu9Hg: optimized geometry, PBE.

Lattice parameters (Å, degrees): 2.641 2.641 46.813 90.00 90.00 90.00
Element x y z (fractional)
Cu (0.500, 0.000, 0.192)
Cu (0.000, 0.500, 0.228)
Cu (0.500, 0.000, 0.265)
Cu (0.000, 0.500, 0.301)
Cu (0.500, 0.000, 0.338)
Cu (0.000, 0.500, 0.374)
Cu (0.500, 0.000, 0.410)
Cu (0.000, 0.500, 0.446)
Cu (0.500, 0.000, 0.482)
Cu (0.000, 0.500, 0.518)
Cu (0.500, 0.000, 0.554)
Cu (0.000, 0.500, 0.590)
Cu (0.500, 0.000, 0.626)
Cu (0.000, 0.500, 0.662)
Cu (0.500, 0.000, 0.699)
Cu (0.000, 0.500, 0.735)
Cu (0.500, 0.000, 0.772)
Cu (0.000, 0.500, 0.808)
Hg (0.000, 0.500, 0.141)
Hg (0.500, 0.000, 0.859)

Values from the calculation:
Distance to the lowest polymorph of the same formula   0.018 eV per atom
Formation energy   0.0865 eV/atom

---

5.
Ga2CoNi: optimized geometry, PBE.

Lattice parameters (Å, degrees): 4.066 5.268 5.268 62.73 90.00 90.00
Each line ends with the local moment (μB).
Element x y z (fractional)
Co (0.000, 0.676, 0.167)  0.45
Co (0.000, 0.167, 0.676)  0.35
Ga (0.000, 0.180, 0.180)  -0.01
Ga (0.500, 0.805, 0.342)  -0.01
Ga (0.500, 0.342, 0.805)  -0.01
Ga (0.500, 0.836, 0.836)  -0.01
Ni (0.500, 0.324, 0.324)  0.01
Ni (0.000, 0.670, 0.670)  0.07

Values from the calculation:
Magnetic moment   0.408 μB/f.u.
VASP energy   -38.800 eV per cell

---

6.
LaHoMg6: optimized geometry, PBE.

Lattice parameters (Å, degrees): 5.221 7.413 5.221 90.00 90.00 90.00
Element x y z (fractional)
Ho (0.000, 0.000, 0.746)
La (0.500, 0.500, 0.254)
Mg (0.000, 0.241, 0.245)
Mg (0.000, 0.759, 0.245)
Mg (0.500, 0.000, 0.254)
Mg (0.000, 0.500, 0.748)
Mg (0.500, 0.241, 0.754)
Mg (0.500, 0.759, 0.754)

Values from the calculation:
Magnetic moment   0.024 μB/f.u.
VASP energy   -19.534 eV per cell

---

7.
Hg2Ge2O5: optimized geometry, PBE.

Lattice parameters (Å, degrees): 7.914 3.796 3.796 90.00 90.00 90.00
Element x y z (fractional)
Ge (0.265, 0.500, 0.500)
Ge (0.735, 0.500, 0.500)
Hg (0.000, 0.000, 0.000)
Hg (0.500, 0.000, 0.000)
O (0.204, 0.500, 0.000)
O (0.796, 0.500, 0.000)
O (0.204, 0.000, 0.500)
O (0.796, 0.000, 0.500)
O (0.500, 0.500, 0.500)

Values from the calculation:
Distance to the lowest polymorph of the same formula   0.000 eV per atom

---

8.
SrFe2Ni: optimized geometry, PBE.

Lattice parameters (Å, degrees): 4.499 4.499 4.499 60.00 60.00 60.00
Element x y z (fractional)
Fe (0.000, 0.000, 0.000)
Fe (0.750, 0.750, 0.750)
Ni (0.250, 0.250, 0.250)
Sr (0.500, 0.500, 0.500)

Values from the calculation:
Magnetic moment   5.190 μB/f.u.
VASP energy   -21.011 eV per cell

---

9.
TlOs3Se5: optimized geometry, PBE.

Lattice parameters (Å, degrees): 5.780 5.780 7.195 90.00 90.00 120.00
Element x y z (fractional)
Os (0.500, 0.000, 0.500)
Os (0.000, 0.500, 0.500)
Os (0.500, 0.500, 0.500)
Se (0.667, 0.333, 0.246)
Se (0.333, 0.667, 0.246)
Se (0.000, 0.000, 0.500)
Se (0.667, 0.333, 0.754)
Se (0.333, 0.667, 0.754)
Tl (0.000, 0.000, 0.000)

Values from the calculation:
Magnetic moment   0.010 μB/f.u.
VASP energy   -52.004 eV per cell

---

10.
Ac3Pr2P4: optimized geometry, PBE.

Lattice parameters (Å, degrees): 8.811 8.811 4.000 90.00 90.00 120.00
Element x y z (fractional)
Ac (0.507, 0.024, 0.000)
Ac (0.976, 0.483, 0.000)
Ac (0.517, 0.493, 0.000)
P (0.160, 0.303, 0.500)
P (0.667, 0.333, 0.500)
P (0.143, 0.840, 0.500)
P (0.697, 0.857, 0.500)
Pr (0.000, 0.000, 0.000)
Pr (0.333, 0.667, 0.500)

Values from the calculation:
Magnetic moment   0.124 μB/f.u.
VASP energy   -51.652 eV per cell

---

11.
CsLuCoS3: optimized geometry, PBE.

Lattice parameters (Å, degrees): 10.273 8.027 8.027 28.07 90.00 90.00
Each line ends with the local moment (μB).
Element x y z (fractional)
Co (0.000, 0.466, 0.466)  2.17
Co (0.500, 0.534, 0.534)  2.17
Cs (0.500, 0.262, 0.262)  0.01
Cs (0.000, 0.738, 0.738)  0.01
Lu (0.250, 0.000, 0.000)  0.03
Lu (0.750, 0.000, 0.000)  0.03
S (0.000, 0.049, 0.049)  0.17
S (0.187, 0.389, 0.389)  0.12
S (0.813, 0.389, 0.389)  0.12
S (0.313, 0.611, 0.611)  0.12
S (0.687, 0.611, 0.611)  0.12
S (0.500, 0.951, 0.951)  0.17

Values from the calculation:
Distance to the lowest polymorph of the same formula   0.010 eV per atom
Magnetic moment   2.994 μB/f.u.

---

12.
YHoB: optimized geometry, PBE.

Lattice parameters (Å, degrees): 4.525 4.525 4.525 60.00 60.00 60.00
Element x y z (fractional)
B (0.000, 0.000, 0.000)
Ho (0.250, 0.250, 0.250)
Y (0.750, 0.750, 0.750)

Values from the calculation:
Distance to the lowest polymorph of the same formula   0.000 eV per atom
Magnetic moment   0.011 μB/f.u.